# 1
This record from the Alexandria database describes a relaxed structure of Al7Rh5. The functional is GGA-PBE.

Properties
E_form = -7.61 eV/f.u.
energy relative to the lowest polymorph listed for this composition = 179 meV per atom
space-group type = P2
volume = 14.48 Å³/atom

Cell: 4.742 8.120 4.778 Å, 90.00 109.19 90.00°
Positions (direct):
Al  0.000  0.000  0.000
Al  0.000  0.145  0.500
Al  0.000  0.473  0.500
Al  0.000  0.651  0.000
Al  0.500  0.454  0.000
Al  0.500  0.659  0.500
Al  0.500  0.830  0.000
Rh  0.000  0.338  0.000
Rh  0.000  0.784  0.500
Rh  0.500  0.138  0.000
Rh  0.500  0.339  0.500
Rh  0.500  0.980  0.500

=====

# 2
This record from the Alexandria database describes a relaxed structure of Al5Rh3. The functional is GGA-PBE.

Properties
E_form = -6.36 eV/f.u.
energy relative to the lowest polymorph listed for this composition = 0 meV per atom
space-group type = Cmmm
volume = 14.20 Å³/atom

Cell: 7.452 7.513 4.058 Å, 90.00 90.00 90.00°
Positions (direct):
Al  0.000  0.000  0.000
Al  0.000  0.293  0.500
Al  0.000  0.707  0.500
Al  0.250  0.250  0.000
Al  0.250  0.750  0.000
Al  0.500  0.207  0.500
Al  0.500  0.500  0.000
Al  0.500  0.793  0.500
Al  0.750  0.250  0.000
Al  0.750  0.750  0.000
Rh  0.000  0.500  0.000
Rh  0.200  0.000  0.500
Rh  0.300  0.500  0.500
Rh  0.500  0.000  0.000
Rh  0.700  0.500  0.500
Rh  0.800  0.000  0.500

=====

# 3
This record from the Alexandria database describes a relaxed structure of Al4Rh7. The functional is GGA-PBE.

Properties
E_form = -6.55 eV/f.u.
space-group type = P-1
volume = 14.09 Å³/atom

Cell: 4.499 4.829 7.246 Å, 95.26 95.67 96.03°
Positions (direct):
Al  0.125  0.062  0.174
Al  0.211  0.608  0.361
Al  0.789  0.392  0.639
Al  0.875  0.938  0.826
Rh  0.000  0.500  0.000
Rh  0.257  0.164  0.521
Rh  0.313  0.693  0.722
Rh  0.448  0.231  0.902
Rh  0.552  0.769  0.098
Rh  0.687  0.307  0.278
Rh  0.743  0.836  0.479

=====

# 4
This record from the Alexandria database describes a relaxed structure of Al3Rh. The functional is GGA-PBE.

Properties
E_form = -2.06 eV/f.u.
space-group type = P4/mmm
volume = 14.77 Å³/atom

Cell: 3.292 3.292 5.453 Å, 90.00 90.00 90.00°
Positions (direct):
Al  0.000  0.000  0.000
Al  0.500  0.500  0.257
Al  0.500  0.500  0.743
Rh  0.000  0.000  0.500

=====

# 5
This record from the Alexandria database describes a relaxed structure of Al3Rh4. The functional is GGA-PBE.

Properties
E_form = -4.38 eV/f.u.
energy relative to the lowest polymorph listed for this composition = 19 meV per atom
space-group type = I4/mmm
volume = 14.20 Å³/atom

Cell: 3.079 3.079 20.965 Å, 90.00 90.00 90.00°
Positions (direct):
Al  0.000  0.000  0.000
Al  0.000  0.000  0.289
Al  0.000  0.000  0.711
Al  0.500  0.500  0.211
Al  0.500  0.500  0.500
Al  0.500  0.500  0.789
Rh  0.000  0.000  0.157
Rh  0.000  0.000  0.433
Rh  0.000  0.000  0.567
Rh  0.000  0.000  0.843
Rh  0.500  0.500  0.067
Rh  0.500  0.500  0.343
Rh  0.500  0.500  0.657
Rh  0.500  0.500  0.933

=====

# 6
This record from the Alexandria database describes a relaxed structure of Al5Rh2. The functional is GGA-PBE.

Properties
E_form = -4.31 eV/f.u.
energy relative to the lowest polymorph listed for this composition = 128 meV per atom
space-group type = C2/m
volume = 14.65 Å³/atom

Cell: 8.613 3.837 6.358 Å, 90.00 102.58 90.00°
Positions (direct):
Al  0.000  0.000  0.000
Al  0.083  0.500  0.742
Al  0.140  0.000  0.430
Al  0.360  0.500  0.570
Al  0.417  0.000  0.258
Al  0.500  0.500  0.000
Al  0.583  0.000  0.742
Al  0.640  0.500  0.430
Al  0.860  0.000  0.570
Al  0.917  0.500  0.258
Rh  0.206  0.500  0.171
Rh  0.294  0.000  0.829
Rh  0.706  0.000  0.171
Rh  0.794  0.500  0.829

=====

# 7
This record from the Alexandria database describes a relaxed structure of Al5Rh3. The functional is GGA-PBE.

Properties
E_form = -6.17 eV/f.u.
energy relative to the lowest polymorph listed for this composition = 24 meV per atom
space-group type = P6_3/mcm
volume = 14.85 Å³/atom

Cell: 7.313 7.313 5.130 Å, 90.00 90.00 120.00°
Positions (direct):
Al  0.000  0.246  0.250
Al  0.000  0.754  0.750
Al  0.246  0.000  0.250
Al  0.246  0.246  0.750
Al  0.333  0.667  0.000
Al  0.333  0.667  0.500
Al  0.667  0.333  0.000
Al  0.667  0.333  0.500
Al  0.754  0.000  0.750
Al  0.754  0.754  0.250
Rh  0.000  0.391  0.750
Rh  0.000  0.609  0.250
Rh  0.391  0.000  0.750
Rh  0.391  0.391  0.250
Rh  0.609  0.000  0.250
Rh  0.609  0.609  0.750

=====

# 8
This record from the Alexandria database describes a relaxed structure of Al4Rh3. The functional is GGA-PBE.

Properties
E_form = -4.60 eV/f.u.
energy relative to the lowest polymorph listed for this composition = 264 meV per atom
space-group type = Imm2
volume = 14.58 Å³/atom

Cell: 2.927 3.627 19.226 Å, 90.00 90.00 90.00°
Positions (direct):
Al  0.000  0.000  0.000
Al  0.000  0.000  0.145
Al  0.000  0.000  0.422
Al  0.000  0.000  0.840
Al  0.500  0.500  0.340
Al  0.500  0.500  0.500
Al  0.500  0.500  0.645
Al  0.500  0.500  0.922
Rh  0.000  0.000  0.293
Rh  0.000  0.000  0.555
Rh  0.000  0.000  0.701
Rh  0.500  0.500  0.055
Rh  0.500  0.500  0.201
Rh  0.500  0.500  0.793

=====

no.,DOS(E_F) (states/eV/cell)
1,7.20
2,5.29
3,10.52
4,0.87
5,11.24
6,4.43
7,5.96
8,5.70